TaAs2W (PBE, optimized geometry); SG = P2/m; magnetization = 0.000 μB/f.u.; final energy = -33.20 eV per cell; offset from the most stable computed form = 411.5 meV/atom; energy relative to the elements = 225 meV per atom; mass density = 12.75 g cm⁻³
1.0
-0.815 2.933 0.693
-5.184 -1.529 0.379
-2.970 -1.796 4.108
As W Ta
2 1 1
direct
0.000 0.000 0.000 As
0.500 0.500 0.000 As
0.000 0.000 0.500 W
0.500 0.500 0.500 Ta

---

Ta2AsW (PBE, optimized geometry); SG = Cmmm; magnetization = 0.000 μB/f.u.; final energy = -41.66 eV per cell; energy relative to the elements = -88 meV per atom; mass density = 15.09 g cm⁻³
1.0
2.921 0.005 0.000
-0.982 2.751 0.000
0.000 0.000 8.493
As W Ta
1 1 2
direct
0.500 0.500 0.750 As
0.500 0.500 0.250 W
0.000 0.000 0.992 Ta
0.000 0.000 0.508 Ta

---

TaAsW2 (PBE, optimized geometry); SG = I-4m2; magnetization = 0.000 μB/f.u.; final energy = -41.10 eV per cell; energy relative to the elements = 328 meV per atom; mass density = 15.81 g cm⁻³
1.0
-2.752 0.155 4.199
2.841 -0.224 4.136
0.145 2.831 -4.146
As W Ta
1 2 1
direct
0.500 0.500 0.000 As
0.000 0.000 0.000 W
0.250 0.750 0.500 W
0.750 0.250 0.500 Ta

---

TaAsW (PBE, optimized geometry); SG = P3m1; magnetization = 0.000 μB/f.u.; final energy = -29.10 eV per cell; offset from the most stable computed form = 144.7 meV/atom; energy relative to the elements = 118 meV per atom; mass density = 14.53 g cm⁻³
1.0
4.528 0.000 0.000
-2.264 3.921 0.000
0.000 0.000 2.830
As W Ta
1 1 1
direct
0.000 0.000 0.858 As
0.333 0.667 0.844 W
0.667 0.333 0.298 Ta

---

TaAsW2 (PBE, optimized geometry); SG = C2/m; magnetization = 0.000 μB/f.u.; final energy = -41.18 eV per cell; energy relative to the elements = 308 meV per atom; mass density = 15.49 g cm⁻³
1.0
5.212 0.010 0.035
-2.258 4.827 -0.005
0.695 0.790 2.660
As W Ta
1 2 1
direct
0.000 0.500 0.500 As
0.000 0.000 0.000 W
0.500 0.000 0.500 W
0.500 0.500 0.000 Ta

---

Ta2AsW (PBE, optimized geometry); SG = Cmmm; magnetization = 0.000 μB/f.u.; final energy = -41.34 eV per cell; energy relative to the elements = -7 meV per atom; mass density = 15.16 g cm⁻³
1.0
-4.573 -0.823 -0.379
1.038 -1.068 4.417
-0.622 3.050 0.884
As W Ta
1 1 2
direct
0.000 0.500 0.500 As
0.500 0.000 0.500 W
0.000 0.000 0.000 Ta
0.500 0.500 0.000 Ta

---

TaAsW2 (PBE, optimized geometry); SG = P4/mmm; magnetization = 0.000 μB/f.u.; final energy = -40.81 eV per cell; energy relative to the elements = 400 meV per atom; mass density = 15.59 g cm⁻³
1.0
-2.201 1.708 0.921
-1.761 -2.343 0.137
2.143 -1.181 7.314
As W Ta
1 2 1
direct
0.500 0.500 0.250 As
0.000 0.000 0.035 W
0.000 0.000 0.465 W
0.500 0.500 0.750 Ta

---

TaAs2W (PBE, optimized geometry); SG = R3m; magnetization = 0.000 μB/f.u.; final energy = -33.85 eV per cell; offset from the most stable computed form = 249.7 meV/atom; energy relative to the elements = 64 meV per atom; mass density = 11.71 g cm⁻³
1.0
-5.137 -3.802 5.403
-2.534 -3.354 7.236
-4.672 -0.982 6.873
As W Ta
2 1 1
direct
0.008 0.008 0.008 As
0.244 0.244 0.244 As
0.749 0.749 0.749 W
0.499 0.499 0.499 Ta

---

TaAs2W (PBE, optimized geometry); SG = Cmmm; magnetization = 0.000 μB/f.u.; final energy = -32.65 eV per cell; offset from the most stable computed form = 549.2 meV/atom; energy relative to the elements = 363 meV per atom; mass density = 12.61 g cm⁻³
1.0
3.008 0.005 0.000
-1.224 2.747 0.000
0.000 0.000 8.198
As W Ta
2 1 1
direct
0.000 0.000 0.996 As
0.000 0.000 0.504 As
0.500 0.500 0.750 W
0.500 0.500 0.250 Ta

---

Ta2AsW (PBE, optimized geometry); SG = Cm; magnetization = 0.000 μB/f.u.; final energy = -41.20 eV per cell; energy relative to the elements = 28 meV per atom; mass density = 15.19 g cm⁻³
1.0
-0.975 4.165 -2.638
-2.911 1.658 -3.746
-3.696 2.101 1.703
As W Ta
1 1 2
direct
0.245 0.245 0.248 As
0.505 0.505 0.489 W
0.995 0.995 0.016 Ta
0.755 0.755 0.746 Ta

---

TaAsW (PBE, optimized geometry); SG = Amm2; magnetization = 0.000 μB/f.u.; final energy = -29.53 eV per cell; offset from the most stable computed form = 0.0 meV/atom; energy relative to the elements = -27 meV per atom; mass density = 14.12 g cm⁻³
1.0
6.011 0.009 0.470
3.348 3.800 0.581
-4.458 -1.724 1.774
As W Ta
1 1 1
direct
0.834 0.971 0.863 As
0.334 0.352 0.982 W
0.833 0.677 0.156 Ta

---

Ta2AsW (PBE, optimized geometry); SG = F-43m; magnetization = 0.001 μB/f.u.; final energy = -40.08 eV per cell; energy relative to the elements = 308 meV per atom; mass density = 15.26 g cm⁻³
1.0
4.571 0.000 0.000
2.285 3.958 0.000
2.285 1.319 3.732
As W Ta
1 1 2
direct
0.500 0.500 0.500 As
0.750 0.750 0.750 W
0.000 0.000 0.000 Ta
0.250 0.250 0.250 Ta

---

TaAs2W (PBE, optimized geometry); SG = Fm-3m; magnetization = 0.000 μB/f.u.; final energy = -33.96 eV per cell; offset from the most stable computed form = 223.2 meV/atom; energy relative to the elements = 37 meV per atom; mass density = 13.34 g cm⁻³
1.0
0.000 3.176 3.176
3.176 0.000 3.176
3.176 3.176 0.000
As W Ta
2 1 1
direct
0.250 0.250 0.250 As
0.750 0.750 0.750 As
0.500 0.500 0.500 W
0.000 0.000 0.000 Ta

---

TaAs2W (PBE, optimized geometry); SG = Cm; magnetization = 0.000 μB/f.u.; final energy = -34.52 eV per cell; offset from the most stable computed form = 83.4 meV/atom; energy relative to the elements = -103 meV per atom; mass density = 13.02 g cm⁻³
1.0
4.810 -0.002 -0.008
3.715 3.056 -0.008
1.185 0.425 4.462
As W Ta
2 1 1
direct
0.992 0.992 0.055 As
0.755 0.755 0.701 As
0.259 0.259 0.186 W
0.493 0.493 0.558 Ta

---

Ta3AsW (PBE, optimized geometry); SG = Pm-3m; magnetization = 0.000 μB/f.u.; final energy = -47.38 eV per cell; offset from the most stable computed form = 0.0 meV/atom; energy relative to the elements = 1155 meV per atom; mass density = 13.16 g cm⁻³
1.0
-4.483 0.916 0.880
-1.264 -2.904 -3.417
-0.123 -3.526 3.043
As W Ta
1 1 3
direct
0.000 0.000 0.000 As
0.500 0.500 0.500 W
0.000 0.500 0.000 Ta
0.000 0.000 0.500 Ta
0.500 0.000 0.000 Ta

---

TaAsW (PBE, optimized geometry); SG = P-6m2; magnetization = 0.000 μB/f.u.; final energy = -58.71 eV per cell; offset from the most stable computed form = 59.7 meV/atom; energy relative to the elements = 33 meV per atom; mass density = 14.15 g cm⁻³
1.0
-1.328 -2.815 -0.824
3.200 0.258 0.251
-0.633 -2.949 11.093
W Ta As
2 2 2
direct
0.611 0.222 0.000 W
0.278 0.556 0.500 W
0.611 0.222 0.323 Ta
0.611 0.222 0.677 Ta
0.278 0.555 0.847 As
0.278 0.555 0.153 As

---

TaAsW2 (PBE, optimized geometry); SG = I-42d; magnetization = 0.000 μB/f.u.; final energy = -78.29 eV per cell; energy relative to the elements = 816 meV per atom; mass density = 14.06 g cm⁻³
1.0
7.643 0.000 0.000
0.000 7.643 0.000
3.822 3.822 2.521
As W Ta
2 4 2
direct
0.500 0.500 0.000 As
0.250 0.750 0.500 As
0.556 0.125 0.250 W
0.194 0.625 0.250 W
0.375 0.444 0.750 W
0.875 0.806 0.750 W
0.000 0.000 0.000 Ta
0.750 0.250 0.500 Ta

---

TaAsW2 (PBE, optimized geometry); SG = Cmm2; magnetization = 0.000 μB/f.u.; final energy = -41.80 eV per cell; energy relative to the elements = 151 meV per atom; mass density = 15.57 g cm⁻³
1.0
-2.572 -1.062 -0.788
1.985 -0.592 -2.018
1.809 -7.285 3.918
As W Ta
1 2 1
direct
0.000 0.000 0.498 As
0.000 0.000 0.004 W
0.500 0.500 0.255 W
0.500 0.500 0.743 Ta

---

TaAsW2 (PBE, optimized geometry); SG = Pmm2; magnetization = 0.000 μB/f.u.; final energy = -41.49 eV per cell; energy relative to the elements = 230 meV per atom; mass density = 15.59 g cm⁻³
1.0
3.029 0.000 0.000
0.000 4.177 0.000
0.000 0.000 5.251
As W Ta
1 2 1
direct
0.000 0.000 0.502 As
0.000 0.000 0.009 W
0.500 0.500 0.241 W
0.500 0.500 0.748 Ta

---

Ta3AsW (PBE, optimized geometry); SG = Pm-3m; magnetization = 0.000 μB/f.u.; final energy = -45.65 eV per cell; offset from the most stable computed form = 346.7 meV/atom; energy relative to the elements = 1502 meV per atom; mass density = 11.43 g cm⁻³
1.0
4.883 0.000 0.000
0.000 4.883 0.000
0.000 0.000 4.883
As W Ta
1 1 3
direct
0.500 0.500 0.500 As
0.000 0.000 0.000 W
0.000 0.500 0.000 Ta
0.000 0.000 0.500 Ta
0.500 0.000 0.000 Ta

---

Ta2AsW (PBE, optimized geometry); SG = P2/m; magnetization = 0.000 μB/f.u.; final energy = -40.92 eV per cell; energy relative to the elements = 98 meV per atom; mass density = 14.89 g cm⁻³
1.0
-1.731 -0.884 -4.103
-2.495 -0.736 1.211
-1.771 5.000 -0.330
As W Ta
1 1 2
direct
0.500 0.750 0.750 As
0.500 0.250 0.250 W
0.000 0.934 0.005 Ta
0.000 0.566 0.495 Ta

---

TaAsW2 (PBE, optimized geometry); SG = Pmmm; magnetization = 0.000 μB/f.u.; final energy = -41.19 eV per cell; energy relative to the elements = 305 meV per atom; mass density = 15.47 g cm⁻³
1.0
3.010 0.000 0.000
0.000 4.265 0.000
0.000 0.000 5.215
As W Ta
1 2 1
direct
0.500 0.500 0.250 As
0.000 0.000 0.000 W
0.000 0.000 0.500 W
0.500 0.500 0.750 Ta

---

TaAs2W (PBE, optimized geometry); SG = Imm2; magnetization = 0.000 μB/f.u.; final energy = -33.60 eV per cell; offset from the most stable computed form = 311.2 meV/atom; energy relative to the elements = 125 meV per atom; mass density = 12.51 g cm⁻³
1.0
-5.159 -1.571 -1.687
-0.891 -4.136 -3.746
2.240 1.563 4.947
As W Ta
2 1 1
direct
0.023 0.023 0.000 As
0.734 0.234 0.500 As
0.232 0.732 0.500 W
0.511 0.511 0.000 Ta

---

Ta2AsW (PBE, optimized geometry); SG = Cmm2; magnetization = 0.000 μB/f.u.; final energy = -41.19 eV per cell; energy relative to the elements = 29 meV per atom; mass density = 15.02 g cm⁻³
1.0
2.929 0.009 0.000
-0.991 2.756 0.000
0.000 0.000 8.492
As W Ta
1 1 2
direct
0.500 0.500 0.747 As
0.000 0.000 0.512 W
0.000 0.000 0.985 Ta
0.500 0.500 0.256 Ta

---

Ta2AsW (PBE, optimized geometry); SG = I4/mmm; magnetization = 0.000 μB/f.u.; final energy = -40.69 eV per cell; energy relative to the elements = 154 meV per atom; mass density = 15.14 g cm⁻³
1.0
-3.977 -1.744 -2.234
-1.127 -4.109 2.385
0.835 4.472 1.776
As W Ta
1 1 2
direct
0.750 0.250 0.500 As
0.250 0.750 0.500 W
0.000 0.000 0.000 Ta
0.500 0.500 0.000 Ta

---

YTaAs (PBE, optimized geometry); SG = F-43m; magnetization = 3.159 μB/f.u.; final energy = -20.21 eV per cell; energy relative to the elements = 919 meV per atom; mass density = 7.16 g cm⁻³
1.0
-1.535 -2.679 -3.721
-3.657 -3.105 0.603
-4.298 0.906 -2.021
Y As Ta
1 1 1
direct
0.250 0.250 0.250 Y
0.000 0.000 0.000 As
0.500 0.500 0.500 Ta

---

YTaAs (PBE, optimized geometry); SG = I4mm; magnetization = 0.000 μB/f.u.; final energy = -24.21 eV per cell; energy relative to the elements = -413 meV per atom; mass density = 8.94 g cm⁻³
1.0
-3.710 -1.560 -4.299
-4.991 -2.822 -1.345
-2.517 2.370 -0.079
Y As Ta
1 1 1
direct
0.332 0.332 0.668 Y
0.034 0.034 0.966 As
0.635 0.635 0.365 Ta

---

Y4TaAs (PBE, optimized geometry); SG = F-43m; magnetization = 0.000 μB/f.u.; final energy = -38.18 eV per cell; energy relative to the elements = 697 meV per atom; mass density = 6.33 g cm⁻³
1.0
0.000 4.313 4.313
4.313 0.000 4.313
4.313 4.313 0.000
Y Ta As
4 1 1
direct
0.120 0.627 0.627 Y
0.627 0.627 0.627 Y
0.627 0.120 0.627 Y
0.627 0.627 0.120 Y
0.000 0.000 0.000 Ta
0.250 0.250 0.250 As

---

YTaAs (PBE, optimized geometry); SG = P-6m2; magnetization = 0.000 μB/f.u.; final energy = -23.47 eV per cell; energy relative to the elements = -167 meV per atom; mass density = 8.59 g cm⁻³
1.0
-4.356 0.705 0.571
1.973 -3.458 1.986
0.766 2.218 3.102
Y As Ta
1 1 1
direct
0.667 0.333 0.666 Y
0.000 0.000 0.167 As
0.333 0.667 0.167 Ta

---

YTaAs (PBE, optimized geometry); SG = P3m1; magnetization = 0.000 μB/f.u.; final energy = -23.94 eV per cell; energy relative to the elements = -324 meV per atom; mass density = 8.51 g cm⁻³
1.0
3.584 0.000 0.000
-1.792 3.104 0.000
0.000 0.000 6.045
Y As Ta
1 1 1
direct
0.667 0.333 0.693 Y
0.000 0.000 0.025 As
0.333 0.667 0.282 Ta

---

YTaAs (PBE, optimized geometry); SG = F-43m; magnetization = 0.000 μB/f.u.; final energy = -23.25 eV per cell; energy relative to the elements = -94 meV per atom; mass density = 8.55 g cm⁻³
1.0
4.558 0.000 0.000
2.279 3.947 0.000
2.279 1.316 3.721
Y As Ta
1 1 1
direct
0.500 0.500 0.500 Y
0.250 0.250 0.250 As
0.000 0.000 0.000 Ta